Record 1
A plane-wave DFT calculation with PBE was carried out for an optimized crystal structure of ZrCu6Pd12.

The structure in POSCAR format:
```
ZrCu6Pd12
1.0
5.980 3.453 2.263
-5.980 3.453 2.263
0.000 -6.905 2.263
Zr Cu Pd
1 6 12
Direct
0.000 0.000 0.000 Zr
0.046 0.360 0.571 Cu
0.360 0.571 0.046 Cu
0.429 0.954 0.640 Cu
0.571 0.046 0.360 Cu
0.640 0.429 0.954 Cu
0.954 0.640 0.429 Cu
0.111 0.737 0.167 Pd
0.167 0.111 0.737 Pd
0.207 0.477 0.324 Pd
0.263 0.833 0.889 Pd
0.324 0.207 0.477 Pd
0.477 0.324 0.207 Pd
0.523 0.676 0.793 Pd
0.676 0.793 0.523 Pd
0.737 0.167 0.111 Pd
0.793 0.523 0.676 Pd
0.833 0.889 0.263 Pd
0.889 0.263 0.833 Pd
```

Summary:
E above lowest polymorph	0.00	eV per formula unit
energy of formation from the pure elements	-22.0	kJ/mol of atoms
symmetry	No. 148
VASP energy	-5.251	eV per atom


Record 2
A plane-wave DFT calculation with PBE was carried out for an optimized crystal structure of ZrCu2Pd2.

The structure in POSCAR format:
```
ZrCu2Pd2
1.0
3.842 0.000 0.000
0.000 3.842 0.000
0.000 0.000 10.958
Zr Cu Pd
2 4 4
Direct
0.000 0.000 0.000 Zr
0.500 0.500 0.500 Zr
0.000 0.000 0.398 Cu
0.000 0.000 0.602 Cu
0.500 0.500 0.102 Cu
0.500 0.500 0.898 Cu
0.000 0.500 0.250 Pd
0.000 0.500 0.750 Pd
0.500 0.000 0.250 Pd
0.500 0.000 0.750 Pd
```

Summary:
E above lowest polymorph	1.32	eV per formula unit
energy of formation from the pure elements	-15.3	kJ/mol of atoms
symmetry	No. 139
VASP energy	-5.583	eV per atom


Record 3
A plane-wave DFT calculation with PBE was carried out for an optimized crystal structure of Zr2Cu6Pd.

The structure in POSCAR format:
```
Zr2Cu6Pd
1.0
5.195 0.000 0.000
-2.597 4.499 0.000
0.000 0.000 5.765
Zr Cu Pd
2 6 1
Direct
0.333 0.667 0.146 Zr
0.667 0.333 0.854 Zr
0.178 0.355 0.659 Cu
0.178 0.822 0.659 Cu
0.355 0.178 0.341 Cu
0.645 0.822 0.659 Cu
0.822 0.178 0.341 Cu
0.822 0.645 0.341 Cu
0.000 0.000 0.000 Pd
```

Summary:
energy of formation from the pure elements	-11.6	kJ/mol of atoms
symmetry	No. 164
VASP energy	-5.328	eV per atom


Record 4
A plane-wave DFT calculation with PBE was carried out for an optimized crystal structure of ZrCu4Pd7.

The structure in POSCAR format:
```
ZrCu4Pd7
1.0
5.981 -2.416 0.000
5.981 2.416 0.000
-4.104 0.000 6.525
Zr Cu Pd
1 4 7
Direct
0.000 0.000 0.000 Zr
0.310 0.310 0.645 Cu
0.467 0.467 0.302 Cu
0.533 0.533 0.698 Cu
0.690 0.690 0.355 Cu
0.066 0.066 0.401 Pd
0.214 0.214 0.887 Pd
0.257 0.257 0.286 Pd
0.500 0.500 0.000 Pd
0.743 0.743 0.714 Pd
0.786 0.786 0.113 Pd
0.934 0.934 0.599 Pd
```

Summary:
energy of formation from the pure elements	-4.7	kJ/mol of atoms
symmetry	No. 12
VASP energy	-5.155	eV per atom


Record 5
A plane-wave DFT calculation with PBE was carried out for an optimized crystal structure of Zr6CuPd5.

The structure in POSCAR format:
```
Zr6CuPd5
1.0
4.669 0.000 0.000
0.003 7.118 0.000
2.046 3.532 6.768
Zr Cu Pd
6 1 5
Direct
0.009 0.272 0.459 Zr
0.326 0.091 0.815 Zr
0.327 0.571 0.854 Zr
0.673 0.429 0.146 Zr
0.674 0.909 0.185 Zr
0.991 0.728 0.541 Zr
0.500 0.500 0.500 Cu
0.184 0.701 0.175 Pd
0.186 0.134 0.165 Pd
0.500 0.000 0.500 Pd
0.814 0.866 0.835 Pd
0.816 0.299 0.825 Pd
```

Summary:
energy of formation from the pure elements	-49.6	kJ/mol of atoms
symmetry	No. 2
VASP energy	-7.294	eV per atom


Record 6
A plane-wave DFT calculation with PBE was carried out for an optimized crystal structure of ZrCu5Pd8.

The structure in POSCAR format:
```
ZrCu5Pd8
1.0
-3.738 3.738 3.859
3.738 -3.738 3.859
3.738 3.738 -3.859
Zr Cu Pd
1 5 8
Direct
0.000 0.000 0.000 Zr
0.210 0.047 0.590 Cu
0.381 0.790 0.838 Cu
0.457 0.619 0.410 Cu
0.750 0.250 0.500 Cu
0.953 0.543 0.162 Cu
0.106 0.342 0.430 Pd
0.168 0.406 0.901 Pd
0.323 0.894 0.235 Pd
0.504 0.267 0.099 Pd
0.594 0.496 0.762 Pd
0.658 0.088 0.765 Pd
0.733 0.832 0.238 Pd
0.912 0.677 0.570 Pd
```

Summary:
energy of formation from the pure elements	-11.6	kJ/mol of atoms
symmetry	No. 82
VASP energy	-5.161	eV per atom


Record 7
A plane-wave DFT calculation with PBE was carried out for an optimized crystal structure of PmCu5.

The structure in POSCAR format:
```
PmCu5
1.0
4.811 0.000 0.000
0.000 8.972 0.000
0.000 0.000 4.390
Pm Cu
2 10
Direct
0.000 0.000 0.000 Pm
0.500 0.500 0.000 Pm
0.000 0.221 0.500 Cu
0.000 0.338 0.000 Cu
0.000 0.500 0.500 Cu
0.000 0.662 0.000 Cu
0.000 0.779 0.500 Cu
0.500 0.000 0.500 Cu
0.500 0.162 0.000 Cu
0.500 0.279 0.500 Cu
0.500 0.721 0.500 Cu
0.500 0.838 0.000 Cu
```

Summary:
energy of formation from the pure elements	2.7	kJ/mol of atoms
symmetry	No. 65
VASP energy	-4.177	eV per atom


Record 8
A plane-wave DFT calculation with PBE was carried out for an optimized crystal structure of PmCu5.

The structure in POSCAR format:
```
PmCu5
1.0
0.000 3.562 3.562
3.562 0.000 3.562
3.562 3.562 0.000
Pm Cu
1 5
Direct
0.000 0.000 0.000 Pm
0.130 0.623 0.623 Cu
0.250 0.250 0.250 Cu
0.623 0.130 0.623 Cu
0.623 0.623 0.130 Cu
0.623 0.623 0.623 Cu
```

Summary:
energy of formation from the pure elements	-13.5	kJ/mol of atoms
symmetry	No. 216
VASP energy	-4.346	eV per atom


Record 9
A plane-wave DFT calculation with PBE was carried out for an optimized crystal structure of Pm5Cu4.

The structure in POSCAR format:
```
Pm5Cu4
1.0
5.395 -1.977 0.000
5.395 1.977 0.000
-3.299 0.000 10.456
Pm Cu
5 4
Direct
0.000 0.000 0.000 Pm
0.111 0.111 0.391 Pm
0.235 0.235 0.820 Pm
0.765 0.765 0.180 Pm
0.889 0.889 0.609 Pm
0.402 0.402 0.395 Cu
0.466 0.466 0.184 Cu
0.534 0.534 0.816 Cu
0.598 0.598 0.605 Cu
```

Summary:
energy of formation from the pure elements	-12.2	kJ/mol of atoms
symmetry	No. 12
VASP energy	-4.586	eV per atom


Record 10
A plane-wave DFT calculation with PBE was carried out for an optimized crystal structure of Pm3Cu2.

The structure in POSCAR format:
```
Pm3Cu2
1.0
3.573 0.000 0.000
0.000 3.573 0.000
0.000 0.000 19.600
Pm Cu
6 4
Direct
0.000 0.000 0.000 Pm
0.000 0.000 0.183 Pm
0.000 0.000 0.363 Pm
0.000 0.000 0.637 Pm
0.000 0.000 0.817 Pm
0.500 0.500 0.500 Pm
0.500 0.500 0.092 Cu
0.500 0.500 0.272 Cu
0.500 0.500 0.728 Cu
0.500 0.500 0.908 Cu
```

Summary:
E above lowest polymorph	0.00	eV per formula unit
energy of formation from the pure elements	-12.4	kJ/mol of atoms
symmetry	No. 123
VASP energy	-4.618	eV per atom


Record 11
A plane-wave DFT calculation with PBE was carried out for an optimized crystal structure of Pm4Cu.

The structure in POSCAR format:
```
Pm4Cu
1.0
5.528 0.000 0.000
0.000 5.528 0.000
0.000 0.000 5.528
Pm Cu
4 1
Direct
0.000 0.000 0.000 Pm
0.000 0.500 0.500 Pm
0.500 0.000 0.500 Pm
0.500 0.500 0.000 Pm
0.500 0.500 0.500 Cu
```

Summary:
energy of formation from the pure elements	13.4	kJ/mol of atoms
symmetry	No. 221
VASP energy	-4.481	eV per atom


Record 12
A plane-wave DFT calculation with PBE was carried out for an optimized crystal structure of Pm5Cu3.

The structure in POSCAR format:
```
Pm5Cu3
1.0
3.571 0.000 0.000
0.000 3.571 0.000
0.000 0.000 16.148
Pm Cu
5 3
Direct
0.000 0.000 0.000 Pm
0.000 0.000 0.219 Pm
0.000 0.000 0.781 Pm
0.500 0.500 0.391 Pm
0.500 0.500 0.609 Pm
0.000 0.000 0.500 Cu
0.500 0.500 0.110 Cu
0.500 0.500 0.890 Cu
```

Summary:
energy of formation from the pure elements	-10.4	kJ/mol of atoms
symmetry	No. 123
VASP energy	-4.613	eV per atom